P.
Density functional theory data (GGA-PBE) for a geometry-optimized Pd structure.

POSCAR file:
```
Pd
1.0
-0.751 1.434 2.143
1.134 -0.711 2.328
1.610 1.266 -1.737
Pd
1
direct
0.000 0.000 0.000
```

Q.
Density functional theory data (GGA-PBE) for a geometry-optimized Pd structure.

POSCAR file:
```
Pd
1.0
4.766 0.000 0.000
0.000 5.503 0.000
-0.048 0.000 32.453
Pd
34
direct
0.336 0.500 0.219
0.006 0.000 0.287
0.997 0.500 0.289
0.669 0.000 0.571
0.000 0.500 0.500
0.668 0.500 0.571
0.832 0.250 0.429
0.665 0.000 0.358
0.501 0.253 0.713
0.000 0.000 0.500
0.501 0.747 0.713
0.835 0.251 0.642
0.500 0.750 0.500
0.838 0.251 0.219
0.832 0.750 0.429
0.165 0.751 0.358
0.664 0.000 0.781
0.003 0.000 0.711
0.835 0.749 0.642
0.332 0.000 0.429
0.838 0.749 0.219
0.331 0.500 0.429
0.499 0.753 0.287
0.664 0.500 0.359
0.162 0.751 0.781
0.165 0.249 0.358
0.500 0.250 0.500
0.162 0.249 0.781
0.335 0.500 0.642
0.336 0.000 0.641
0.499 0.247 0.287
0.168 0.750 0.571
0.168 0.250 0.571
0.994 0.500 0.713
```

It comes down to P, which is 12.9 kJ/mol of atoms more stable than the next structure.